Entry from Alexandria: crystalline LaGdZnCd at its relaxed geometry (PBE).

Results
* crystal system: cubic
* symmetry: F-43m (216)
* energy of formation: -0.31 eV/atom
* volume: 431.81 Å³ per cell

```
data_LaGdZnCd
_symmetry_space_group_name_H-M 'P 1'
_symmetry_Int_Tables_number 1
_cell_length_a 7.558
_cell_length_b 7.558
_cell_length_c 7.558
_cell_angle_alpha 90.00
_cell_angle_beta 90.00
_cell_angle_gamma 90.00
loop_
_symmetry_equiv_pos_as_xyz
'x,y,z'
loop_
_atom_site_label
_atom_site_fract_x
_atom_site_fract_y
_atom_site_fract_z
La1 0.000 0.000 0.000
La2 0.000 0.500 0.500
La3 0.500 0.000 0.500
La4 0.500 0.500 0.000
Gd1 0.000 0.000 0.500
Gd2 0.000 0.500 0.000
Gd3 0.500 0.000 0.000
Gd4 0.500 0.500 0.500
Zn1 0.250 0.250 0.250
Zn2 0.250 0.750 0.750
Zn3 0.750 0.250 0.750
Zn4 0.750 0.750 0.250
Cd1 0.250 0.250 0.750
Cd2 0.250 0.750 0.250
Cd3 0.750 0.250 0.250
Cd4 0.750 0.750 0.750
```